Compound: K2Zn2Ge
Source: Alexandria via LeMat-Bulk
Functional: PBE
Structure: optimized geometry

Unit cell a=6.9543 b=6.9543 c=5.6372 alpha=90.00 beta=90.00 gamma=90.00
Sites, in units of the cell vectors:
K1 0.3134 0.1866 0.5000
Zn1 0.6337 0.1337 0.0000
K2 0.1866 0.6866 0.5000
K3 0.8134 0.3134 0.5000
Zn2 0.1337 0.3663 0.0000
Zn3 0.8663 0.6337 0.0000
Ge1 0.5000 0.5000 0.0000
Ge2 0.0000 0.0000 0.0000
K4 0.6866 0.8134 0.5000
Zn4 0.3663 0.8663 0.0000

Results
The value obtained for the formation enthalpy at 0 K is 0.36 eV/f.u.



Compound: UMn2Sn
Source: Alexandria via LeMat-Bulk
Functional: PBE
Structure: optimized geometry

Unit cell a=3.3698 b=4.4100 c=4.4100 alpha=90.00 beta=90.00 gamma=90.00
Sites, in units of the cell vectors:
Mn1 0.0000 0.0000 0.5000
Mn2 0.0000 0.5000 0.0000
U1 0.5000 0.0000 0.0000
Sn1 0.5000 0.5000 0.5000

Results
The value obtained for the formation enthalpy at 0 K is 0.25 eV/f.u.



Compound: VHgSe2
Source: Alexandria via LeMat-Bulk
Functional: PBE
Structure: optimized geometry

Unit cell a=3.3376 b=3.3399 c=9.9286 alpha=89.69 beta=89.55 gamma=60.04
Sites, in units of the cell vectors:
Se1 0.3007 0.6965 0.7886
V1 0.6307 0.0291 0.9496
Hg1 0.6271 0.0421 0.4497
Se2 0.2941 0.6947 0.1107

Results
For the raw formation energy, the calculation gives -0.53 eV/atom.



Number 1: size of the total moment 0.00 Bohr magnetons per cell. Number 2: size of the total moment 0.37 Bohr magnetons per cell. Number 3: size of the total moment 0.94 Bohr magnetons per cell.